! BaAlIr, optimized geometry, DFT PBE-GGA; values from VASP
! D(E_F): 2.173 states/eV/cell
! DFT formation energy: 1.036 eV/atom
&SYSTEM
  ibrav = 0, nat = 3, ntyp = 3
/
ATOMIC_SPECIES
Ba 137.33 Ba.upf
Al 26.98 Al.upf
Ir 192.22 Ir.upf
ATOMIC_POSITIONS angstrom
Ba -1.033 -7.597 -5.206
Al -0.689 -5.065 -3.471
Ir 0.000 0.000 0.000
CELL_PARAMETERS angstrom
-2.645 -2.095 -3.750
2.277 -3.092 -3.272
-1.008 -4.942 0.080

! Ho6SbTe3, optimized geometry, DFT PBE-GGA; values from VASP
! formation energy from raw total energies: -932 meV per atom
! D(E_F): 19.373 states/eV/cell
&SYSTEM
  ibrav = 0, nat = 20, ntyp = 3
/
ATOMIC_SPECIES
Ho 164.93 Ho.upf
Sb 121.76 Sb.upf
Te 127.60 Te.upf
ATOMIC_POSITIONS angstrom
Ho 4.970 7.319 6.249
Ho 5.911 4.400 4.279
Ho 7.851 1.227 4.615
Ho 9.522 -6.637 -0.701
Sb 10.494 -3.728 -1.187
Te 6.449 -3.175 -0.853
Te 8.043 3.858 6.401
Te 12.755 3.068 3.445
Ho 6.641 -0.544 0.933
Te 5.532 1.899 2.578
Ho 9.964 3.996 4.046
Sb 3.999 4.410 6.735
Ho 11.050 -1.140 0.574
Ho 3.442 1.823 4.974
Ho 3.181 0.260 1.443
Ho 11.311 0.422 4.105
Te 1.737 -2.386 2.103
Ho 8.582 -3.718 1.269
Ho 4.529 -3.313 1.502
Te 8.961 -1.216 2.969
CELL_PARAMETERS angstrom
-0.035 -2.293 3.382
9.297 -6.370 -4.225
5.230 9.346 6.392

! Ta2MnZnPd, optimized geometry, DFT PBE-GGA; values from VASP
! D(E_F): 4.842 states/eV/cell
! DFT formation energy: 0.844 eV/atom
&SYSTEM
  ibrav = 0, nat = 5, ntyp = 4
/
ATOMIC_SPECIES
Ta 180.95 Ta.upf
Zn 65.41 Zn.upf
Mn 54.94 Mn.upf
Pd 106.42 Pd.upf
ATOMIC_POSITIONS angstrom
Ta 0.402 0.317 2.192
Zn -2.051 2.447 2.334
Ta -0.149 2.227 -0.295
Mn 0.000 0.000 0.000
Pd -2.304 -0.097 0.437
CELL_PARAMETERS angstrom
-0.299 4.453 -0.589
-4.607 -0.193 0.873
0.804 0.634 4.384

! Rb3Si2H8, optimized geometry, DFT PBE-GGA; values from VASP
! D(E_F): 5.794 states/eV/cell
! raw total energy: -0.1134 Ha/atom
&SYSTEM
  ibrav = 0, nat = 13, ntyp = 3
/
ATOMIC_SPECIES
H 1.01 H.upf
Rb 85.47 Rb.upf
Si 28.09 Si.upf
ATOMIC_POSITIONS angstrom
H 2.797 1.769 6.558
Rb 6.935 4.386 8.577
H 5.439 1.769 7.556
Si 4.058 2.566 7.215
H 5.445 3.443 3.544
H 3.516 2.224 8.649
H 3.929 4.156 7.556
Rb 0.000 0.000 0.000
Si 4.903 3.101 4.978
H 3.522 3.898 4.637
H 5.032 1.511 4.637
H 6.164 3.898 5.635
Rb 2.026 1.281 3.616
CELL_PARAMETERS angstrom
5.936 0.000 2.243
2.545 5.363 2.243
0.480 0.304 7.707

! Pr2PuGa6, optimized geometry, DFT PBE-GGA; values from VASP
! D(E_F): 17.707 states/eV/cell
! DFT formation energy: -0.553 eV/atom
&SYSTEM
  ibrav = 0, nat = 9, ntyp = 3
/
ATOMIC_SPECIES
Ga 69.72 Ga.upf
Pr 140.91 Pr.upf
Pu 244.00 Pu.upf
ATOMIC_POSITIONS angstrom
Ga -4.047 -5.246 1.898
Pr -1.519 -3.219 2.390
Pr -4.096 -3.222 -3.097
Pu -2.887 -2.465 6.382
Ga -2.932 -0.443 1.373
Ga -2.527 -2.013 -0.486
Ga -3.088 -4.428 -0.222
Ga -3.901 -1.270 3.515
Ga -1.568 -1.194 -2.606
CELL_PARAMETERS angstrom
-3.946 0.752 -1.494
1.218 -4.728 -5.595
-2.887 -2.465 6.382

! ZrSc2Hg, optimized geometry, DFT PBE-GGA; values from VASP
! D(E_F): 6.333 states/eV/cell
! DFT formation energy: -0.132 eV/atom
&SYSTEM
  ibrav = 0, nat = 4, ntyp = 3
/
ATOMIC_SPECIES
Zr 91.22 Zr.upf
Hg 200.59 Hg.upf
Sc 44.96 Sc.upf
ATOMIC_POSITIONS angstrom
Zr 1.408 -4.297 -0.483
Hg 0.947 -7.087 0.988
Sc 3.818 -5.886 0.727
Sc -0.476 -2.779 1.464
CELL_PARAMETERS angstrom
-2.468 -1.186 3.358
-0.960 -2.742 -1.674
3.842 -5.900 0.740

! LiZnRe2, optimized geometry, DFT PBE-GGA; values from VASP
! D(E_F): 2.407 states/eV/cell
! DFT formation energy: 0.426 eV/atom
&SYSTEM
  ibrav = 0, nat = 4, ntyp = 3
/
ATOMIC_SPECIES
Li 6.94 Li.upf
Re 186.21 Re.upf
Zn 65.41 Zn.upf
ATOMIC_POSITIONS angstrom
Li -1.642 5.383 3.961
Re -1.036 3.983 1.495
Re -0.011 0.042 0.016
Zn -0.596 1.358 2.451
CELL_PARAMETERS angstrom
-1.838 -1.031 1.475
1.693 -0.279 1.916
-2.093 8.051 3.021

! Tb2Tl2Pd5, optimized geometry, DFT PBE-GGA; values from VASP
! D(E_F): 11.057 states/eV/cell
! DFT formation energy: -0.432 eV/atom
&SYSTEM
  ibrav = 0, nat = 18, ntyp = 3
/
ATOMIC_SPECIES
Pd 106.42 Pd.upf
Tl 204.38 Tl.upf
Tb 158.93 Tb.upf
ATOMIC_POSITIONS angstrom
Pd -5.745 0.318 -1.277
Pd -3.726 -4.987 4.774
Tl -5.614 -1.428 -3.260
Tb -4.180 -5.296 1.611
Pd -5.301 -0.004 4.161
Pd -0.364 -0.724 2.810
Pd -1.238 -3.580 7.076
Pd -3.868 -0.804 1.675
Tb -3.412 -2.447 -0.959
Tl -4.464 1.728 0.580
Tl -6.543 -1.508 2.124
Pd -2.266 0.429 -0.114
Pd -4.391 -2.744 3.426
Pd 0.851 -3.387 2.252
Tl -1.912 -2.902 1.963
Tb -2.703 1.285 3.389
Pd -0.887 -2.665 4.561
Tb -3.471 -1.563 5.959
CELL_PARAMETERS angstrom
-3.668 4.794 4.216
-5.968 -1.518 -3.466
3.334 -7.138 4.588

! Ta2ZnCo, optimized geometry, DFT PBE-GGA; values from VASP
! D(E_F): 4.487 states/eV/cell
! DFT formation energy: 0.025 eV/atom
&SYSTEM
  ibrav = 0, nat = 4, ntyp = 3
/
ATOMIC_SPECIES
Co 58.93 Co.upf
Ta 180.95 Ta.upf
Zn 65.41 Zn.upf
ATOMIC_POSITIONS angstrom
Co -1.863 -1.370 1.336
Ta -0.108 -0.079 -0.029
Ta -3.023 -2.214 -0.797
Zn -2.835 0.584 -0.408
CELL_PARAMETERS angstrom
-4.103 -0.340 -2.570
-2.160 -4.248 0.918
1.565 3.801 2.580

! AcBiAs4, optimized geometry, DFT PBE-GGA; values from VASP
! D(E_F): 4.022 states/eV/cell
! DFT formation energy: -0.210 eV/atom
&SYSTEM
  ibrav = 0, nat = 6, ntyp = 3
/
ATOMIC_SPECIES
Ac 227.00 Ac.upf
Bi 208.98 Bi.upf
As 74.92 As.upf
ATOMIC_POSITIONS angstrom
Ac 0.000 0.000 0.000
Bi -3.148 0.516 1.696
As -6.450 -0.252 2.295
As -5.868 2.442 2.557
As -7.774 1.273 4.189
As -5.096 0.661 4.531
CELL_PARAMETERS angstrom
-5.708 1.304 -0.729
-4.063 -2.492 3.478
-2.822 3.250 4.036

! IrOsBr2, optimized geometry, DFT PBE-GGA; values from VASP
! formation energy from raw total energies: 1618 meV per atom
! offset from the most stable computed form: 4.90 eV/f.u.
! D(E_F): 3.529 states/eV/cell
&SYSTEM
  ibrav = 0, nat = 4, ntyp = 3
/
ATOMIC_SPECIES
Os 190.23 Os.upf
Br 79.90 Br.upf
Ir 192.22 Ir.upf
ATOMIC_POSITIONS angstrom
Os 1.529 1.529 5.480
Br 0.000 0.000 3.729
Ir 1.529 1.529 1.827
Br 0.000 0.000 7.232
CELL_PARAMETERS angstrom
3.057 0.000 0.000
0.000 3.057 0.000
0.000 0.000 7.307

! LiCoSe, optimized geometry, DFT PBE-GGA; values from VASP
! formation energy from raw total energies: -338 meV per atom
! offset from the most stable computed form: 0.59 eV/f.u.
! D(E_F): 2.807 states/eV/cell
&SYSTEM
  ibrav = 0, nat = 3, ntyp = 3
/
ATOMIC_SPECIES
Co 58.93 Co.upf
Li 6.94 Li.upf
Se 78.96 Se.upf
ATOMIC_POSITIONS angstrom
Co 2.239 -0.646 1.805
Li 1.648 -1.796 -0.762
Se 1.518 -2.790 1.931
CELL_PARAMETERS angstrom
-2.194 -2.751 1.737
2.226 -0.931 -3.095
2.686 -0.776 2.166

> Among the records above, which one has the lowest D(E_F)?

BaAlIr